A relaxed LaBeOF2 crystal. Source: Alexandria via LeMat-Bulk, functional PBE.

The space group is P4/mmm (No. 123) and the conventional cell measures 4.7085, 4.7085 and 4.5886 Å, with angles of 90.00, 90.00 and 90.00 degrees. The asymmetric unit holds La at (0.0000, 0.0000, 0.0000), Be at (0.5000, 0.5000, 0.5000), O at (0.0000, 0.0000, 0.5000) and F at (0.0000, 0.5000, 0.0000).

Its density of states at the Fermi level is 0.857 states/eV/f.u. Its polymorph energy (0 for the lowest one) is 0.8103 eV per atom. Its formation energy (no corrections) is -1.964 eV per atom.



A relaxed LaBeO2F crystal. Source: Alexandria via LeMat-Bulk, functional PBE.

The space group is P4/mmm (No. 123) and the conventional cell measures 3.7806, 3.7806 and 3.5952 Å, with angles of 90.00, 90.00 and 90.00 degrees. The asymmetric unit holds La at (0.0000, 0.0000, 0.0000), Be at (0.5000, 0.5000, 0.5000), O at (0.0000, 0.5000, 0.5000) and F at (0.5000, 0.5000, 0.0000).

Its density of states at the Fermi level is 0.000 states/eV/f.u. Its formation energy (no corrections) is -3.031 eV per atom.



Values of magnetization, in order: 0.200 0.000, all in μB/atom.